Entry from the Alexandria database: an optimized crystal structure of BaCr2P (PBE).

POSCAR file:
```
BaCr2P
1.0
4.090 0.000 0.000
0.000 4.424 0.000
-0.523 0.000 5.128
Ba Cr P
1 2 1
direct
0.000 0.000 0.000
0.336 0.500 0.611
0.664 0.500 0.389
0.500 0.000 0.500
```

The total magnetization is 1.0 μB per cell. Its crystal system is monoclinic. For the density of states at the Fermi level, the calculation gives 1.12 states/eV/atom. The formation energy is 127 kJ/mol of formula units.



Entry from the Alexandria database: an optimized crystal structure of Zn2HgOs (PBE).

POSCAR file:
```
Zn2HgOs
1.0
4.339 0.000 0.000
0.000 2.737 0.000
0.000 0.000 10.920
Zn Hg Os
4 2 2
direct
0.000 0.000 0.000
0.000 0.500 0.500
0.500 0.000 0.139
0.500 0.500 0.639
0.000 0.000 0.756
0.000 0.500 0.256
0.500 0.000 0.424
0.500 0.500 0.924
```

The total magnetization is 0.0 μB per cell. Its crystal system is orthorhombic. For the density of states at the Fermi level, the calculation gives 0.40 states/eV/atom. The formation energy is 150 kJ/mol of formula units.



Entry from the Alexandria database: an optimized crystal structure of AcEuBiBr (PBE).

POSCAR file:
```
AcEuBiBr
1.0
8.067 0.000 0.000
0.000 8.067 0.000
0.000 0.000 8.067
Ac Eu Bi Br
4 4 4 4
direct
0.000 0.000 0.000
0.000 0.500 0.500
0.500 0.000 0.500
0.500 0.500 0.000
0.000 0.000 0.500
0.000 0.500 0.000
0.500 0.000 0.000
0.500 0.500 0.500
0.250 0.250 0.750
0.250 0.750 0.250
0.750 0.250 0.250
0.750 0.750 0.750
0.250 0.250 0.250
0.250 0.750 0.750
0.750 0.250 0.750
0.750 0.750 0.250
```

The total magnetization is 31.7 μB per cell. The uncorrected formation energy comes out at -1106 meV per atom. Its crystal system is cubic. For the density of states at the Fermi level, the calculation gives 0.40 states/eV/atom.



Entry from the Alexandria database: an optimized crystal structure of Li3Mn4 (PBE).

POSCAR file:
```
Li3Mn4
1.0
4.553 0.000 0.000
-2.276 3.943 0.000
0.000 0.000 4.955
Li Mn
3 4
direct
0.000 0.500 0.000
0.500 0.000 0.000
0.500 0.500 0.000
0.000 0.000 0.304
0.000 0.000 0.696
0.333 0.667 0.500
0.667 0.333 0.500
```

The total magnetization is 4.2 μB per cell. Its crystal system is hexagonal. For the density of states at the Fermi level, the calculation gives 0.76 states/eV/atom. The formation energy is 316 kJ/mol of formula units.



Entry from the Alexandria database: an optimized crystal structure of TbDy3Tm12 (PBE).

POSCAR file:
```
TbDy3Tm12
1.0
4.943 0.000 0.000
0.000 4.943 0.000
0.000 0.000 19.776
Tb Dy Tm
1 3 12
direct
0.000 0.000 0.000
0.000 0.000 0.250
0.000 0.000 0.500
0.000 0.000 0.750
0.000 0.500 0.125
0.000 0.500 0.375
0.000 0.500 0.625
0.000 0.500 0.875
0.500 0.000 0.125
0.500 0.000 0.375
0.500 0.000 0.625
0.500 0.000 0.875
0.500 0.500 0.000
0.500 0.500 0.250
0.500 0.500 0.500
0.500 0.500 0.750
```

The total magnetization is 0.0 μB per cell. Its crystal system is tetragonal. For the density of states at the Fermi level, the calculation gives 1.33 states/eV/atom. The formation energy is 38 kJ/mol of formula units.



Entry from the Alexandria database: an optimized crystal structure of HfZnI2O (PBE).

POSCAR file:
```
HfZnI2O
1.0
5.877 0.000 0.000
0.000 5.877 0.000
0.000 0.000 3.981
Hf Zn I O
1 1 2 1
direct
0.000 0.000 0.000
0.500 0.500 0.500
0.000 0.500 0.000
0.500 0.000 0.000
0.000 0.000 0.500
```

The total magnetization is 0.0 μB per cell. The uncorrected formation energy comes out at -1032 meV per atom. Its crystal system is tetragonal. For the density of states at the Fermi level, the calculation gives 0.33 states/eV/atom. The distance to the lowest polymorph of the same formula is 0.000 eV/atom.



Entry from the Alexandria database: an optimized crystal structure of LiAg2Pd5 (PBE).

POSCAR file:
```
LiAg2Pd5
1.0
7.956 0.000 0.000
0.000 7.880 0.000
-3.966 0.000 3.992
Li Ag Pd
2 4 10
direct
0.000 0.000 0.000
0.500 0.500 0.000
0.250 0.250 0.000
0.250 0.750 0.000
0.750 0.250 0.000
0.750 0.750 0.000
0.000 0.000 0.500
0.000 0.500 0.000
0.000 0.500 0.500
0.250 0.250 0.500
0.250 0.750 0.500
0.500 0.000 0.000
0.500 0.000 0.500
0.500 0.500 0.500
0.750 0.250 0.500
0.750 0.750 0.500
```

The total magnetization is 0.0 μB per cell. Its crystal system is monoclinic. For the density of states at the Fermi level, the calculation gives 0.82 states/eV/atom. The formation energy is -113 kJ/mol of formula units. The distance to the lowest polymorph of the same formula is 0.000 eV/atom.



Entry from the Alexandria database: an optimized crystal structure of ZnInTc2 (PBE).

POSCAR file:
```
ZnInTc2
1.0
3.891 0.000 0.000
0.000 3.891 0.000
0.000 0.000 8.506
Zn In Tc
2 2 4
direct
0.000 0.000 0.000
0.500 0.500 0.500
0.000 0.000 0.500
0.500 0.500 0.000
0.000 0.500 0.250
0.000 0.500 0.750
0.500 0.000 0.250
0.500 0.000 0.750
```

The total magnetization is 2.4 μB per cell. Its crystal system is tetragonal. For the density of states at the Fermi level, the calculation gives 1.21 states/eV/atom. The formation energy is 149 kJ/mol of formula units. The distance to the lowest polymorph of the same formula is 0.320 eV/atom.



no.,volume (Å³/cell)
1,93
2,130
3,525
4,89
5,483
6,137
7,250
8,129